VASP calculation (GGA-PBE) on crystalline SrLaTlBi at its relaxed geometry.

```
SrLaTlBi
1.0
5.7490 0.0000 0.0000
2.8745 4.9788 0.0000
2.8745 1.6596 4.6940
Sr La Tl Bi
1 1 1 1
Cartesian
0.0000 0.0000 0.0000 Sr
5.7490 3.3192 2.3470 La
2.8745 1.6596 1.1735 Tl
8.6235 4.9788 3.5205 Bi
```

Summary:
Total magnetization: 0.0 μB/f.u.
VASP energy: -15.02 eV for the cell shown
Density: 7909 kg/m3